(1)
An optimized crystal structure of ZnCrTe2N. Source: Alexandria, functional PBE.

POSCAR file:
```
ZnCrTe2N
1.0
-4.470 -2.993 -0.606
1.907 -3.575 3.589
-1.553 1.792 2.610
Cr Zn Te N
1 1 2 1
direct
0.000 0.000 0.000
0.500 0.500 0.500
0.000 0.500 0.000
0.500 0.000 0.000
0.000 0.000 0.500
```

As for the relative energy among the computed polymorphs: 0.00 kcal/mol of atoms. The uncorrected formation energy comes out at 0.1884 eV per atom.



(2)
An optimized crystal structure of ZrCrTeN2. Source: Alexandria, functional PBE.

POSCAR file:
```
ZrCrTeN2
1.0
4.144 0.000 0.000
0.000 6.112 0.000
0.000 0.000 4.144
Cr Te Zr N
1 1 1 2
direct
0.500 0.500 0.500
0.000 0.500 0.000
0.000 0.000 0.000
0.000 0.000 0.500
0.500 0.000 0.000
```

As for the relative energy among the computed polymorphs: 0.84 kcal/mol of atoms. The uncorrected formation energy comes out at 0.5028 eV per atom.